This record from the Alexandria database describes a relaxed structure of Tb3NdDy2Er6. The functional is GGA-PBE.

As for the formation energy: 18.1 meV per atom. The theoretical density is 8.63 g/cm³.

The structure belongs to space group C2/m (No. 12); the cell edges are 6.134, 10.615 and 11.706 Å and the angles 90.00°, 100.01° and 90.00°. The asymmetric unit holds Tb at (0.000, 0.000, 0.000), Tb at (0.000, 0.333, 0.000), Nd at (0.000, 0.500, 0.500), Dy at (0.000, 0.167, 0.500), Er at (0.249, 0.167, 0.249) and Er at (0.250, 0.000, 0.751).